No. 1
Material: CaRe2Hg
Method: DFT, PBE
State: optimized geometry

calculated density = 12.7 g/cm³
formation enthalpy at 0 K = 0.598 eV per atom
crystal system = orthorhombic
magnetic moment = 0.0 μB per cell

a b c (Å): 5.238 5.238 5.238
angles (deg): 136.48 124.07 73.43
Fractional coordinates of all 4 atoms:
Re  0.964  0.964  0.000
Re  0.788  0.288  0.500
Ca  0.514  0.514  0.000
Hg  0.234  0.734  0.500

No. 2
Material: CaReHg4
Method: DFT, PBE
State: optimized geometry

calculated density = 12.5 g/cm³
formation enthalpy at 0 K = 0.596 eV per atom
crystal system = cubic
magnetic moment = 2.8 μB per cell

a b c (Å): 5.784 5.784 5.784
angles (deg): 60.00 60.00 60.00
Last column: magnetic moment on the atom in μB.
Fractional coordinates of all 6 atoms:
Ca  0.000  0.000  0.000  0.01
Re  0.750  0.750  0.750  2.33
Hg  0.873  0.376  0.376  -0.01
Hg  0.376  0.376  0.873  -0.01
Hg  0.376  0.873  0.376  -0.01
Hg  0.376  0.376  0.376  -0.01

No. 3
Material: CaRe2Hg
Method: DFT, PBE
State: optimized geometry

calculated density = 13.5 g/cm³
formation enthalpy at 0 K = 0.516 eV per atom
crystal system = trigonal
magnetic moment = 0.3 μB per cell

a b c (Å): 9.956 9.956 9.956
angles (deg): 17.20 17.20 17.20
Last column: magnetic moment on the atom in μB.
Fractional coordinates of all 4 atoms:
Re  0.992  0.992  0.992  0.07
Re  0.258  0.258  0.258  0.03
Ca  0.505  0.505  0.505  0.07
Hg  0.745  0.745  0.745  0.01

No. 4
Material: CaRe2Hg
Method: DFT, PBE
State: optimized geometry

calculated density = 12.8 g/cm³
formation enthalpy at 0 K = 0.239 eV per atom
crystal system = tetragonal
magnetic moment = 0.0 μB per cell

a b c (Å): 3.120 3.120 8.178
angles (deg): 90.00 90.00 90.00
Fractional coordinates of all 4 atoms:
Re  0.000  0.000  0.042
Re  0.500  0.500  0.202
Ca  0.000  0.000  0.479
Hg  0.500  0.500  0.778

No. 5
Material: CaReHg
Method: DFT, PBE
State: optimized geometry

energy above the most stable polymorph in this dataset = 0.121 eV per atom
calculated density = 11.6 g/cm³
formation enthalpy at 0 K = 0.707 eV per atom
crystal system = orthorhombic
magnetic moment = 0.0 μB per cell

a b c (Å): 5.433 5.433 5.433
angles (deg): 149.75 130.04 59.52
Fractional coordinates of all 3 atoms:
Re  0.327  0.327  0.000
Ca  0.998  0.998  0.000
Hg  0.675  0.675  0.000

No. 6
Material: CaRe2Hg
Method: DFT, PBE
State: optimized geometry

calculated density = 14.0 g/cm³
formation enthalpy at 0 K = 0.677 eV per atom
crystal system = cubic
magnetic moment = 0.0 μB per cell

a b c (Å): 4.686 4.686 4.686
angles (deg): 120.01 120.01 89.98
Fractional coordinates of all 4 atoms:
Re  0.000  0.000  0.000
Re  0.250  0.750  0.500
Ca  0.500  0.500  0.000
Hg  0.750  0.250  0.500

No. 7
Material: Ca2ReHg
Method: DFT, PBE
State: optimized geometry

calculated density = 7.9 g/cm³
formation enthalpy at 0 K = 0.571 eV per atom
crystal system = tetragonal
magnetic moment = 0.7 μB per cell

a b c (Å): 3.161 3.161 9.787
angles (deg): 90.00 90.00 90.08
Last column: magnetic moment on the atom in μB.
Fractional coordinates of all 4 atoms:
Re  0.500  0.500  0.728  0.62
Ca  0.000  0.000  0.947  0.00
Ca  0.500  0.500  0.296  0.00
Hg  0.000  0.000  0.529  0.01

No. 8
Material: CaReHg2
Method: DFT, PBE
State: optimized geometry

energy above the most stable polymorph in this dataset = 0.000 eV per atom
calculated density = 12.7 g/cm³
formation enthalpy at 0 K = 0.442 eV per atom
crystal system = orthorhombic
magnetic moment = 0.0 μB per cell

a b c (Å): 2.997 4.333 6.331
angles (deg): 90.00 90.00 90.00
Fractional coordinates of all 4 atoms:
Re  0.500  0.500  0.250
Ca  0.500  0.500  0.750
Hg  0.000  0.000  0.024
Hg  0.000  0.000  0.476

No. 9
Material: CaRe2Hg
Method: DFT, PBE
State: optimized geometry

calculated density = 11.9 g/cm³
formation enthalpy at 0 K = 0.891 eV per atom
crystal system = tetragonal
magnetic moment = 0.0 μB per cell

a b c (Å): 4.037 4.037 10.860
angles (deg): 79.29 79.29 90.00
Fractional coordinates of all 8 atoms:
Re  0.699  0.125  0.250
Re  0.051  0.625  0.250
Re  0.375  0.301  0.750
Re  0.875  0.949  0.750
Ca  0.500  0.500  0.000
Ca  0.250  0.750  0.500
Hg  0.000  0.000  0.000
Hg  0.750  0.250  0.500

No. 10
Material: CaRe2Hg
Method: DFT, PBE
State: optimized geometry

calculated density = 13.8 g/cm³
formation enthalpy at 0 K = 0.949 eV per atom
crystal system = trigonal
magnetic moment = 0.0 μB per cell

a b c (Å): 10.194 10.194 10.194
angles (deg): 16.39 16.39 16.39
Fractional coordinates of all 4 atoms:
Re  0.003  0.003  0.003
Re  0.497  0.497  0.497
Ca  0.250  0.250  0.250
Hg  0.750  0.750  0.750

No. 11
Material: CaRe2Hg
Method: DFT, PBE
State: optimized geometry

calculated density = 12.1 g/cm³
formation enthalpy at 0 K = 1.045 eV per atom
crystal system = tetragonal
magnetic moment = 0.0 μB per cell

a b c (Å): 3.587 3.587 6.520
angles (deg): 90.00 90.00 90.00
Fractional coordinates of all 4 atoms:
Re  0.000  0.000  0.932
Re  0.000  0.000  0.568
Ca  0.500  0.500  0.250
Hg  0.500  0.500  0.750

No. 12
Material: Ca2ReHg
Method: DFT, PBE
State: optimized geometry

calculated density = 8.3 g/cm³
formation enthalpy at 0 K = 0.511 eV per atom
crystal system = tetragonal
magnetic moment = 0.9 μB per cell

a b c (Å): 5.355 5.355 5.355
angles (deg): 127.69 127.70 77.12
Last column: magnetic moment on the atom in μB.
Fractional coordinates of all 4 atoms:
Re  0.250  0.750  0.500  0.87
Ca  0.000  0.000  0.000  -0.01
Ca  0.500  0.500  0.000  -0.01
Hg  0.750  0.250  0.500  -0.03